MnSbPd3: optimized geometry, PBE.

a = 4.8978 Å, b = 4.8978 Å, c = 4.8978 Å
α = 90.00°, β = 90.00°, γ = 90.00°
Last column: magnetic moment on the atom in μB.
Element x y z (fractional)
1 Sb 0.0000 0.0000 0.0000  -0.02
2 Mn 0.5000 0.5000 0.5000  4.45
3 Pd 0.0000 0.5000 0.0000  -0.05
4 Pd 0.0000 0.0000 0.5000  -0.03
5 Pd 0.5000 0.0000 0.0000  -0.05

Properties
For the polymorph energy (0 for the lowest one), the calculation gives 395 kJ/mol of formula units. The density of states at the Fermi level comes out at 3.05 states/eV/f.u. The energy relative to the elements, uncorrected comes out at 50 kJ/mol of atoms.